The following is a DFT calculation (PBE-GGA) of crystalline CeBIr at its relaxed geometry.

Cell: 2.871 2.871 5.873 Å, 104.15 104.15 90.00°
Fractional coordinates of all 3 atoms:
Ce 0.010 0.010 0.020
Ir 0.286 0.286 0.571
B 0.704 0.704 0.408

## Properties
* formation energy: -0.30 eV per atom
* electronic total energy: -0.54841 Ry/atom
* energy above the most stable polymorph in this dataset: 24.1 kJ/mol of atoms

***

The following is a DFT calculation (PBE-GGA) of crystalline Cs5HgI4 at its relaxed geometry.

Cell: 5.557 5.557 20.061 Å, 97.96 97.96 90.00°
Fractional coordinates of all 10 atoms:
Cs 0.300 0.300 0.599
Cs 0.500 0.500 0.000
Cs 0.101 0.101 0.202
Cs 0.899 0.899 0.798
Cs 0.700 0.700 0.401
Hg 0.000 0.000 0.000
I 0.601 0.601 0.202
I 0.399 0.399 0.798
I 0.200 0.200 0.400
I 0.800 0.800 0.600

## Properties
* electronic total energy: -0.17053 Ry/atom
* raw formation energy: -1243 meV/atom

***

The following is a DFT calculation (PBE-GGA) of crystalline Tb2PaN3 at its relaxed geometry.

Cell: 6.060 6.051 6.051 Å, 120.06 99.56 99.56°
Fractional coordinates of all 12 atoms:
N 0.499 0.346 0.192
N 0.999 0.192 0.346
N 0.500 0.000 0.500
N 0.001 0.808 0.654
N 0.501 0.654 0.808
N 0.000 0.500 0.000
Tb 0.250 0.917 0.083
Tb 0.750 0.752 0.248
Tb 0.750 0.083 0.917
Tb 0.250 0.248 0.752
Pa 0.250 0.586 0.414
Pa 0.750 0.414 0.586

## Properties
* electronic total energy: -0.65952 Ry/atom
* raw formation energy: -1684 meV/atom
* energy above the most stable polymorph in this dataset: 0.0 kJ/mol of atoms

***

The following is a DFT calculation (PBE-GGA) of crystalline Li3Mo5 at its relaxed geometry.

Cell: 7.360 7.360 4.821 Å, 90.00 90.00 120.00°
Fractional coordinates of all 16 atoms:
Li 0.410 0.000 0.750
Li 0.000 0.590 0.250
Li 0.590 0.000 0.250
Li 0.590 0.590 0.750
Li 0.000 0.410 0.750
Li 0.410 0.410 0.250
Mo 0.333 0.667 0.000
Mo 0.000 0.215 0.250
Mo 0.785 0.785 0.250
Mo 0.785 0.000 0.750
Mo 0.667 0.333 0.500
Mo 0.667 0.333 0.000
Mo 0.000 0.785 0.750
Mo 0.215 0.000 0.250
Mo 0.333 0.667 0.500
Mo 0.215 0.215 0.750

## Properties
* formation energy: 0.62 eV per atom
* electronic total energy: -0.50464 Ry/atom

***

The following is a DFT calculation (PBE-GGA) of crystalline Ga2NiBr at its relaxed geometry.

Cell: 5.888 5.888 7.340 Å, 66.35 66.35 90.00°
Fractional coordinates of all 8 atoms:
Ga 0.219 0.625 0.250
Ga 0.375 0.469 0.750
Ga 0.531 0.125 0.250
Ga 0.875 0.781 0.750
Ni 0.250 0.750 0.500
Ni 0.500 0.500 0.000
Br 0.750 0.250 0.500
Br 0.000 0.000 0.000

## Properties
* electronic total energy: -0.24896 Ry/atom
* raw formation energy: -10 meV/atom
* energy above the most stable polymorph in this dataset: 0.0 kJ/mol of atoms

***

The following is a DFT calculation (PBE-GGA) of crystalline LiTl4Sb2 at its relaxed geometry.

Cell: 4.866 4.866 11.183 Å, 77.43 77.43 60.00°
Fractional coordinates of all 7 atoms:
Tl 0.299 0.299 0.102
Tl 0.127 0.127 0.620
Tl 0.873 0.873 0.380
Tl 0.701 0.701 0.898
Li 0.500 0.500 0.500
Sb 0.413 0.413 0.760
Sb 0.587 0.587 0.240

## Properties
* electronic total energy: -0.21092 Ry/atom
* raw formation energy: -66 meV/atom

***

The following is a DFT calculation (PBE-GGA) of crystalline LaCe2TmBi4 at its relaxed geometry.

Cell: 4.591 7.943 7.956 Å, 70.52 90.00 90.00°
Last column: magnetic moment on the atom in μB.
Fractional coordinates of all 8 atoms:
Bi 0.000 0.751 0.742  0.01
Bi 0.000 0.249 0.258  0.01
Bi 0.500 0.255 0.741  -0.01
Bi 0.500 0.745 0.259  -0.01
Ce 0.500 0.000 0.500  -0.77
Ce 0.000 0.000 0.000  0.88
Tm 0.000 0.500 0.500  -0.01
La 0.500 0.500 0.000  0.01

## Properties
* formation energy: -0.84 eV per atom
* electronic total energy: -0.39993 Ry/atom

***

The following is a DFT calculation (PBE-GGA) of crystalline Na2LaTlSn at its relaxed geometry.

Cell: 6.247 5.959 6.247 Å, 90.00 90.00 90.00°
Last column: magnetic moment on the atom in μB.
Fractional coordinates of all 5 atoms:
Na 0.500 0.000 0.000  0.02
Na 0.000 0.000 0.500  0.02
Sn 0.500 0.500 0.500  -0.09
La 0.000 0.000 0.000  0.23
Tl 0.000 0.500 0.000  0.02

## Properties
* formation energy: 0.86 eV per atom
* electronic total energy: -0.14145 Ry/atom

***

The following is a DFT calculation (PBE-GGA) of crystalline ZrNi2Se at its relaxed geometry.

Cell: 3.603 3.396 5.383 Å, 71.50 90.00 90.00°
Fractional coordinates of all 4 atoms:
Se 0.000 0.309 0.512
Zr 0.500 0.699 0.730
Ni 0.000 0.041 0.037
Ni 0.500 0.451 0.222

## Properties
* electronic total energy: -0.46205 Ry/atom
* raw formation energy: -388 meV/atom

***

The following is a DFT calculation (PBE-GGA) of crystalline Sm2MgP3Rh12 at its relaxed geometry.

Cell: 6.697 6.697 6.697 Å, 83.27 83.27 83.27°
Fractional coordinates of all 18 atoms:
P 0.000 0.500 0.000
P 0.500 0.000 0.000
P 0.000 0.000 0.500
Rh 0.092 0.633 0.633
Rh 0.367 0.367 0.908
Rh 0.328 0.827 0.827
Rh 0.173 0.672 0.173
Rh 0.672 0.173 0.173
Rh 0.827 0.328 0.827
Rh 0.633 0.633 0.092
Rh 0.827 0.827 0.328
Rh 0.367 0.908 0.367
Rh 0.908 0.367 0.367
Rh 0.633 0.092 0.633
Rh 0.173 0.173 0.672
Sm 0.627 0.627 0.627
Sm 0.373 0.373 0.373
Mg 0.000 0.000 0.000

## Properties
* formation energy: -0.31 eV per atom
* electronic total energy: -0.49401 Ry/atom

***

The following is a DFT calculation (PBE-GGA) of crystalline Hf2TiSi at its relaxed geometry.

Cell: 3.114 3.114 9.337 Å, 80.40 80.40 60.00°
Fractional coordinates of all 4 atoms:
Si 0.000 0.000 0.000
Hf 0.747 0.747 0.760
Hf 0.253 0.253 0.240
Ti 0.500 0.500 0.500

## Properties
* electronic total energy: -0.61612 Ry/atom
* raw formation energy: -77 meV/atom

***

The following is a DFT calculation (PBE-GGA) of crystalline TcBi2Rh2 at its relaxed geometry.

Cell: 7.113 7.113 3.970 Å, 90.00 90.00 90.00°
Last column: magnetic moment on the atom in μB.
Fractional coordinates of all 10 atoms:
Rh 0.365 0.865 0.000  0.16
Rh 0.635 0.135 0.000  0.16
Rh 0.865 0.635 0.000  0.16
Rh 0.135 0.365 0.000  0.16
Tc 0.500 0.500 0.000  2.19
Tc 0.000 0.000 0.000  2.17
Bi 0.328 0.172 0.500  -0.05
Bi 0.172 0.672 0.500  -0.05
Bi 0.828 0.328 0.500  -0.05
Bi 0.672 0.828 0.500  -0.05

## Properties
* formation energy: 0.39 eV per atom
* electronic total energy: -0.45400 Ry/atom
* energy above the most stable polymorph in this dataset: 0.0 kJ/mol of atoms

***

The following is a DFT calculation (PBE-GGA) of crystalline Cd5Hg4 at its relaxed geometry.

Cell: 9.581 9.581 7.161 Å, 48.01 48.01 90.00°
Fractional coordinates of all 9 atoms:
Cd 0.000 0.000 0.000
Cd 0.333 0.667 0.000
Cd 0.667 0.667 0.000
Cd 0.667 0.333 0.000
Cd 0.333 0.333 0.000
Hg 0.673 0.000 0.000
Hg 0.000 0.327 0.000
Hg 0.327 0.000 0.000
Hg 0.000 0.673 0.000

## Properties
* formation energy: 0.02 eV per atom
* electronic total energy: -0.04548 Ry/atom
* energy above the most stable polymorph in this dataset: 0.0 kJ/mol of atoms

***

The following is a DFT calculation (PBE-GGA) of crystalline Y2PbSe2 at its relaxed geometry.

Cell: 8.328 8.328 3.616 Å, 90.00 90.00 90.00°
Fractional coordinates of all 10 atoms:
Y 0.839 0.339 0.500
Y 0.339 0.161 0.500
Y 0.161 0.661 0.500
Y 0.661 0.839 0.500
Pb 0.500 0.500 0.000
Pb 0.000 0.000 0.000
Se 0.635 0.135 0.000
Se 0.135 0.365 0.000
Se 0.365 0.865 0.000
Se 0.865 0.635 0.000

## Properties
* electronic total energy: -0.42935 Ry/atom
* raw formation energy: -1121 meV/atom
* energy above the most stable polymorph in this dataset: 1.3 kJ/mol of atoms

***

The following is a DFT calculation (PBE-GGA) of crystalline NdPuInRu at its relaxed geometry.

Cell: 3.374 3.374 8.511 Å, 90.00 90.00 90.00°
Last column: magnetic moment on the atom in μB.
Fractional coordinates of all 4 atoms:
Pu 0.500 0.500 0.367  5.05
In 0.000 0.000 0.080  -0.06
Ru 0.000 0.000 0.557  -0.61
Nd 0.500 0.500 0.780  0.08

## Properties
* formation energy: -0.22 eV per atom
* electronic total energy: -0.58783 Ry/atom

***

The following is a DFT calculation (PBE-GGA) of crystalline SmSnPt2 at its relaxed geometry.

Cell: 3.577 3.577 6.577 Å, 90.00 90.00 90.00°
Fractional coordinates of all 4 atoms:
Sm 0.500 0.500 0.500
Pt 0.000 0.000 0.766
Pt 0.000 0.000 0.234
Sn 0.500 0.500 0.000

## Properties
* formation energy: -0.75 eV per atom
* electronic total energy: -0.43716 Ry/atom

***

The following is a DFT calculation (PBE-GGA) of crystalline Mg4HIr3 at its relaxed geometry.

Cell: 5.414 4.409 5.414 Å, 91.67 108.32 88.33°
Fractional coordinates of all 8 atoms:
Mg 0.137 0.840 0.097
Mg 0.892 0.339 0.380
Mg 0.399 0.339 0.887
Mg 0.682 0.840 0.642
Ir 0.392 0.326 0.387
Ir 0.179 0.839 0.600
Ir 0.644 0.839 0.135
H 0.778 0.565 0.001

## Properties
* electronic total energy: -0.35455 Ry/atom
* energy above the most stable polymorph in this dataset: 0.6 kJ/mol of atoms

***

The following is a DFT calculation (PBE-GGA) of crystalline ZrAlCu at its relaxed geometry.

Cell: 4.168 5.606 5.570 Å, 118.92 68.02 111.82°
Fractional coordinates of all 6 atoms:
Cu 0.512 0.875 0.384
Cu 0.817 0.277 0.176
Zr 0.170 0.861 0.054
Zr 0.527 0.353 0.830
Al 0.870 0.866 0.659
Al 0.256 0.443 0.464

## Properties
* formation energy: -0.30 eV per atom
* electronic total energy: -0.42333 Ry/atom

***

The following is a DFT calculation (PBE-GGA) of crystalline HfSe2O at its relaxed geometry.

Cell: 8.476 8.476 8.476 Å, 22.05 22.05 22.05°
Fractional coordinates of all 4 atoms:
Se 0.896 0.896 0.896
Se 0.104 0.104 0.104
O 0.500 0.500 0.500
Hf 0.000 0.000 0.000

## Properties
* electronic total energy: -0.37065 Ry/atom
* raw formation energy: 427 meV/atom

***

The following is a DFT calculation (PBE-GGA) of crystalline Ba2NaCaAg at its relaxed geometry.

Cell: 6.513 6.513 5.800 Å, 90.00 90.00 90.00°
Fractional coordinates of all 5 atoms:
Na 0.000 0.000 0.500
Ca 0.500 0.500 0.500
Ag 0.000 0.000 0.000
Ba 0.500 0.000 0.000
Ba 0.000 0.500 0.000

## Properties
* formation energy: 0.03 eV per atom
* electronic total energy: -0.14523 Ry/atom
* energy above the most stable polymorph in this dataset: 7.9 kJ/mol of atoms